The following is a DFT calculation (GGA-PBE) of a geometry-optimized PmTiTl structure.

Properties
Energy relative to the elements: 0.075 eV/atom
Energy: -4.9286 eV per atom

Lattice parameters (Å, degrees): 4.3782 4.6582 7.6291 107.78 90.00 90.00
Closest atoms and distances in Å follow each position.
Element x y z (fractional)
Ti  0.7500  0.4407  0.3818  2 Ti 2.78, 2 Tl 3.10
Ti  0.2500  0.5593  0.6182  2 Ti 2.78, 2 Tl 3.10
Pm  0.2500  0.2713  0.0429  4 Tl 3.16-3.52, 4 Pm 3.26, 2 Ti 3.29
Pm  0.7500  0.7287  0.9571  4 Tl 3.16-3.52, 4 Pm 3.26, 2 Ti 3.29
Tl  0.2500  0.9185  0.3371  6 Ti 3.10-3.21, 2 Pm 3.16, 2 Tl 3.22
Tl  0.7500  0.0815  0.6629  6 Ti 3.10-3.21, 2 Pm 3.16, 2 Tl 3.22

The following is a DFT calculation (GGA-PBE) of a geometry-optimized PmTm2Ti structure.

Properties
ΔE to the lowest computed polymorph: 0.00 eV per formula unit
Energy relative to the elements: 0.144 eV/atom
Energy: -5.2532 eV per atom

Lattice parameters (Å, degrees): 3.3610 3.3610 9.7386 90.00 90.00 90.00
Closest atoms and distances in Å follow each position.
Element x y z (fractional)
Tm  0.0000  0.0000  0.2121  4 Ti 3.15, 4 Tm 3.36
Ti  0.5000  0.5000  0.0000  8 Tm 3.15, 4 Ti 3.36
Tm  0.0000  0.0000  0.7879  4 Ti 3.15, 4 Tm 3.36
Pm  0.5000  0.5000  0.5000  4 Pm 3.36, 8 Tm 3.68

The following is a DFT calculation (GGA-PBE) of a geometry-optimized PmTm2Ti structure.

Properties
ΔE to the lowest computed polymorph: 1.11 eV per formula unit
Energy relative to the elements: 0.422 eV/atom
Energy: -4.9756 eV per atom

Lattice parameters (Å, degrees): 3.3452 3.3452 11.8708 81.90 81.90 60.00
Closest atoms and distances in Å follow each position.
Element x y z (fractional)
Tm  0.0828  0.0828  0.7515  1 Ti 2.91
Tm  0.9172  0.9172  0.2485  1 Ti 2.91
Pm  0.5000  0.5000  0.5000  6 Pm 3.35, 6 Tm 3.52
Ti  0.0000  0.0000  0.0000  2 Tm 2.91

> energy relative to the elements of number 1 (PmTiTl)?

0.075 eV/atom

> Among the records above, which one has the lowest energy?

number 2